(1)
! Lu2MgHg PBE optimized geometry; values from VASP
! * E above lowest polymorph: 0.0 meV per atom
! * formation energy from the elements: -0.259 eV/atom
! * total magnetization: 0.00 μB per formula unit
&SYSTEM
  ibrav = 0, nat = 4, ntyp = 3
/
ATOMIC_SPECIES
Lu 174.97 Lu.upf
Mg 24.30 Mg.upf
Hg 200.59 Hg.upf
CELL_PARAMETERS angstrom
3.728 0.000 0.000
0.000 3.728 0.000
0.000 0.000 7.181
ATOMIC_POSITIONS crystal
Lu 0.000 0.000 0.244
Lu 0.000 0.000 0.756
Mg 0.500 0.500 0.500
Hg 0.500 0.500 0.000



(2)
! Er4SiSb2 PBE optimized geometry; values from VASP
! * E_form (uncorrected): -672 meV/atom
! * total magnetization: 0.00 μB per formula unit
&SYSTEM
  ibrav = 0, nat = 14, ntyp = 3
/
ATOMIC_SPECIES
Er 167.26 Er.upf
Si 28.09 Si.upf
Sb 121.76 Sb.upf
CELL_PARAMETERS angstrom
-4.646 4.651 4.646
4.646 -4.651 4.646
4.646 4.651 -4.646
ATOMIC_POSITIONS crystal
Er 0.184 0.235 0.552
Er 0.184 0.632 0.948
Er 0.236 0.184 0.052
Er 0.368 0.816 0.552
Er 0.632 0.184 0.448
Er 0.764 0.816 0.948
Er 0.816 0.368 0.052
Er 0.816 0.765 0.448
Si 0.125 0.875 0.250
Si 0.875 0.125 0.750
Sb 0.000 0.500 0.500
Sb 0.500 0.000 0.000
Sb 0.500 0.500 0.000
Sb 0.500 0.500 0.500



Here are the calculated electronic total energy numbers, same order: -11.97 -73.25 (eV for the cell shown).